[1]
Th2UIn: optimized geometry, GGA-PBE.

Lattice parameters (Å, degrees): 3.982 3.982 7.056 90.00 90.00 90.00
Site moments in Bohr magnetons follow the coordinates.
Fractional positions:
U (0.500, 0.500, 0.000)  1.83
Th (0.000, 0.000, 0.756)  0.07
Th (0.000, 0.000, 0.244)  0.07
In (0.500, 0.500, 0.500)  -0.03

E_form	0.17	eV/atom

***

[2]
Th2VIn: optimized geometry, GGA-PBE.

Lattice parameters (Å, degrees): 3.321 3.321 11.439 81.65 81.65 60.00
Site moments in Bohr magnetons follow the coordinates.
Fractional positions:
V (0.000, 0.000, 0.000)  2.25
Th (0.082, 0.082, 0.754)  0.03
Th (0.918, 0.918, 0.246)  0.03
In (0.500, 0.500, 0.500)  0.00

E_form	0.50	eV/atom

***

Computed E (eV per atom) in order:
-7.051 -6.176